# FeB2WBr

FeB2WBr after structural relaxation (PBE, Alexandria via LeMat-Bulk).

abc: 4.224 4.224 4.787
angles: 90.00 90.00 90.00
Positions (direct):
Fe 0.000 0.000 0.000
B 0.000 0.500 0.500
B 0.500 0.000 0.500
W 0.000 0.000 0.500
Br 0.500 0.500 0.000

## Properties
theoretical density	6.6	g/cm³
N(E_F)	7.10	states/eV/cell
formation energy (no corrections)	39.53	kcal/mol of atoms
electronic total energy	-5.575	eV/atom